## Mg2CrSbO (PBE+U)

Data for crystalline Mg2CrSbO at its relaxed geometry.

Unit cell a=5.584 b=5.584 c=4.138 alpha=90.00 beta=90.00 gamma=90.00
Space group P4/mmm (No. 123)
One atom of each set of equivalent atoms:
1 Mg 0.000 0.500 0.000 (multiplicity 2)
2 Cr 0.000 0.000 0.500 (multiplicity 1)
3 Sb 0.500 0.500 0.000 (multiplicity 1)
4 O 0.500 0.500 0.500 (multiplicity 1)

Summary:
Theoretical density (g/cm³): 3.1
Total energy (eV per atom): -3.7320